# ZnFeSn2Se, relaxed, DFT PBE
data_ZnFeSn2Se
_chemical_formula_sum 'Zn1 Fe1 Sn2 Se1'
_symmetry_space_group_name_H-M 'P 4/m m m'
_symmetry_Int_Tables_number 123
_symmetry_space_group_name_Hall '-P 4 2'
_cell_length_a 5.554
_cell_length_b 5.554
_cell_length_c 4.608
_cell_angle_alpha 90.00
_cell_angle_beta 90.00
_cell_angle_gamma 90.00
loop_
_atom_site_label
_atom_site_type_symbol
_atom_site_fract_x
_atom_site_fract_y
_atom_site_fract_z
Zn1 Zn 0.000 0.000 0.000
Fe1 Fe 0.500 0.500 0.000
Sn1 Sn 0.000 0.500 0.500
Se1 Se 0.000 0.000 0.500
# Mass density ... 5.11 g/cm3
# Final energy ... -3.3645 eV/atom
# DOS at the Fermi energy ... 4.26 states/eV per cell

# ZnFeSn2Se, relaxed, DFT PBE
data_ZnFeSn2Se
_chemical_formula_sum 'Zn1 Fe1 Sn2 Se1'
_symmetry_space_group_name_H-M 'P 4/m m m'
_symmetry_Int_Tables_number 123
_symmetry_space_group_name_Hall '-P 4 2'
_cell_length_a 5.178
_cell_length_b 5.178
_cell_length_c 4.817
_cell_angle_alpha 90.00
_cell_angle_beta 90.00
_cell_angle_gamma 90.00
loop_
_atom_site_label
_atom_site_type_symbol
_atom_site_fract_x
_atom_site_fract_y
_atom_site_fract_z
Zn1 Zn 0.000 0.000 0.000
Fe1 Fe 0.500 0.500 0.500
Sn1 Sn 0.000 0.500 0.000
Se1 Se 0.000 0.000 0.500
# Mass density ... 5.63 g/cm3
# Final energy ... -3.4146 eV/atom
# DOS at the Fermi energy ... 9.13 states/eV per cell

# Sr3FeSe, relaxed, DFT PBE
data_Sr3FeSe
_chemical_formula_sum 'Sr3 Fe1 Se1'
_symmetry_space_group_name_H-M 'P m -3 m'
_symmetry_Int_Tables_number 221
_symmetry_space_group_name_Hall '-P 4 2 3'
_cell_length_a 5.896
_cell_length_b 5.896
_cell_length_c 5.896
_cell_angle_alpha 90.00
_cell_angle_beta 90.00
_cell_angle_gamma 90.00
loop_
_atom_site_label
_atom_site_type_symbol
_atom_site_fract_x
_atom_site_fract_y
_atom_site_fract_z
Sr1 Sr 0.000 0.000 0.500
Fe1 Fe 0.500 0.500 0.500
Se1 Se 0.000 0.000 0.000
# Mass density ... 3.22 g/cm3
# Final energy ... -3.4842 eV/atom
# DOS at the Fermi energy ... 17.67 states/eV per cell

# Sr2FeSe4, relaxed, DFT PBE
data_Sr2FeSe4
_chemical_formula_sum 'Sr4 Fe2 Se8'
_symmetry_space_group_name_H-M 'I 4/m m m'
_symmetry_Int_Tables_number 139
_symmetry_space_group_name_Hall '-I 4 2'
_cell_length_a 4.796
_cell_length_b 4.796
_cell_length_c 15.894
_cell_angle_alpha 90.00
_cell_angle_beta 90.00
_cell_angle_gamma 90.00
loop_
_atom_site_label
_atom_site_type_symbol
_atom_site_fract_x
_atom_site_fract_y
_atom_site_fract_z
Sr1 Sr 0.000 0.000 0.142
Fe1 Fe 0.000 0.000 0.500
Se1 Se 0.000 0.000 0.337
Se2 Se 0.000 0.500 0.000
# Mass density ... 4.97 g/cm3
# Final energy ... -4.7541 eV/atom
# DOS at the Fermi energy ... 11.01 states/eV per cell

# Sr2FeSe, relaxed, DFT PBE
data_Sr2FeSe
_chemical_formula_sum 'Sr6 Fe3 Se3'
_symmetry_space_group_name_H-M 'R -3 m'
_symmetry_Int_Tables_number 166
_symmetry_space_group_name_Hall '-R 3 2"'
_cell_length_a 4.2776
_cell_length_b 4.2776
_cell_length_c 23.9411
_cell_angle_alpha 90.00
_cell_angle_beta 90.00
_cell_angle_gamma 120.00
loop_
_atom_site_label
_atom_site_type_symbol
_atom_site_fract_x
_atom_site_fract_y
_atom_site_fract_z
Sr1 Sr 0.0000 0.0000 0.2450
Fe1 Fe 0.0000 0.0000 0.0000
Se1 Se 0.0000 0.0000 0.5000
# Mass density ... 4.07 g/cm3
# Final energy ... -4.2016 eV/atom
# DOS at the Fermi energy ... 20.13 states/eV per cell

# Sr2FeSe, relaxed, DFT PBE
data_Sr2FeSe
_chemical_formula_sum 'Sr2 Fe1 Se1'
_symmetry_space_group_name_H-M 'P 4 m m'
_symmetry_Int_Tables_number 99
_cell_length_a 4.469
_cell_length_b 4.469
_cell_length_c 6.373
_cell_angle_alpha 90.00
_cell_angle_beta 90.00
_cell_angle_gamma 90.00
loop_
_symmetry_equiv_pos_as_xyz
'x,y,z'
'-y,x,z'
'-x,-y,z'
'y,-x,z'
'-x,y,z'
'y,x,z'
'x,-y,z'
'-y,-x,z'
loop_
_atom_site_label
_atom_site_type_symbol
_atom_site_fract_x
_atom_site_fract_y
_atom_site_fract_z
Sr1 Sr 0.000 0.000 0.000
Sr2 Sr 0.500 0.500 0.499
Fe1 Fe 0.000 0.000 0.500
Se1 Se 0.500 0.500 0.998
# Mass density ... 4.04 g/cm3
# Final energy ... -4.1677 eV/atom
# DOS at the Fermi energy ... 4.35 states/eV per cell

- Number 2 is which compound?
  ZnFeSn2Se